1.
DFT (meta-GGA SCAN) results for a PBEsol-optimized structure of Mn7BiO12.

Values from the calculation:
**Raw formation energy**: -40.52 eV per formula unit
**V**: 10.11 Å³ per atom

```
data_Mn7BiO12
_cell_length_a 7.394
_cell_length_b 7.394
_cell_length_c 7.394
_cell_angle_alpha 90.00
_cell_angle_beta 90.00
_cell_angle_gamma 90.00
_symmetry_space_group_name_H-M 'I m -3'
_symmetry_Int_Tables_number 204
_symmetry_space_group_name_Hall '-I 2 2 3'
loop_
_atom_site_label
_atom_site_fract_x
_atom_site_fract_y
_atom_site_fract_z
Mn1 0.000 0.000 0.500
Mn2 0.250 0.250 0.250
Bi1 0.000 0.000 0.000
O1 0.000 0.308 0.176
```


2.
DFT (meta-GGA SCAN) results for a PBEsol-optimized structure of Mn2Bi3O7.

Values from the calculation:
**Raw formation energy**: -17.14 eV per formula unit
**V**: 13.53 Å³ per atom

```
data_Mn2Bi3O7
_cell_length_a 20.334
_cell_length_b 5.678
_cell_length_c 5.625
_cell_angle_alpha 90.00
_cell_angle_beta 90.00
_cell_angle_gamma 90.00
_symmetry_space_group_name_H-M 'C m c 21'
_symmetry_Int_Tables_number 36
_symmetry_space_group_name_Hall 'C 2c -2'
loop_
_atom_site_label
_atom_site_fract_x
_atom_site_fract_y
_atom_site_fract_z
Mn1 0.104 0.235 0.000
Bi1 0.000 0.334 0.581
Bi2 0.184 0.273 0.474
O1 0.000 0.273 0.977
O2 0.093 0.491 0.736
O3 0.120 0.006 0.747
O4 0.211 0.333 0.064
```


3.
DFT (meta-GGA SCAN) results for a PBEsol-optimized structure of Mn3BiO8.

Values from the calculation:
**Offset from the most stable computed form**: 0.316 eV/f.u.
**Raw formation energy**: -20.50 eV per formula unit
**V**: 12.54 Å³ per atom

```
data_Mn3BiO8
_cell_length_a 5.6329
_cell_length_b 5.6329
_cell_length_c 16.4229
_cell_angle_alpha 90.00
_cell_angle_beta 90.00
_cell_angle_gamma 120.00
_symmetry_space_group_name_H-M 'R -3 m'
_symmetry_Int_Tables_number 166
_symmetry_space_group_name_Hall '-R 3 2"'
loop_
_atom_site_label
_atom_site_fract_x
_atom_site_fract_y
_atom_site_fract_z
Mn1 0.0000 0.5000 0.0000
Bi1 0.0000 0.0000 0.5000
O1 0.0000 0.0000 0.2728
O2 0.0215 0.5107 0.2702
```


4.
DFT (meta-GGA SCAN) results for a PBEsol-optimized structure of Mn3BiO8.

Values from the calculation:
**Offset from the most stable computed form**: 0.000 eV/f.u.
**Raw formation energy**: -20.82 eV per formula unit
**V**: 12.52 Å³ per atom

```
data_Mn3BiO8
_cell_length_a 8.439
_cell_length_b 8.439
_cell_length_c 8.439
_cell_angle_alpha 90.00
_cell_angle_beta 90.00
_cell_angle_gamma 90.00
_symmetry_space_group_name_H-M 'P 43 3 2'
_symmetry_Int_Tables_number 212
_symmetry_space_group_name_Hall 'P 4acd 2ab 3'
loop_
_atom_site_label
_atom_site_fract_x
_atom_site_fract_y
_atom_site_fract_z
Mn1 0.097 0.153 0.625
Bi1 0.125 0.875 0.375
O1 0.068 0.141 0.404
O2 0.122 0.378 0.622
```